Record 1
Computed, not measured: a relaxed SiHgRu2F crystal at the GGA-PBE level of DFT.

Geometry as extended XYZ:
```
5
Lattice="5.243 0.000 0.000 0.000 4.660 0.000 0.000 0.000 5.243" Properties=species:S:1:pos:R:3 pbc="T T T"
Ru 0.000 0.000 2.622
Ru 2.622 0.000 0.000
Si 0.000 2.330 0.000
Hg 0.000 0.000 0.000
F 2.622 2.330 2.622
```

Calculated values
**E_tot**: -0.1257 Ha/atom
**Uncorrected formation energy**: 1810 meV per atom

***

Record 2
Computed, not measured: a relaxed Dy6Y2Zn crystal at the GGA-PBE level of DFT.

Geometry as extended XYZ:
```
18
Lattice="-1.396 -0.728 5.116 -9.366 -1.906 -2.827 2.231 -9.799 -0.783" Properties=species:S:1:pos:R:3 pbc="T T T"
Dy -1.314 -2.610 4.869
Dy -5.183 -6.703 -2.366
Dy -3.887 -9.843 -2.460
Dy -0.495 -6.650 1.720
Dy -0.309 -10.016 1.291
Dy -5.010 -4.470 0.799
Dy -7.216 -9.824 -3.364
Dy -3.348 -5.730 3.871
Dy -4.643 -2.590 3.965
Dy -8.035 -5.783 -0.215
Dy -8.222 -2.417 0.214
Dy -3.520 -7.964 0.706
Y -2.391 -8.883 3.684
Y -6.491 -8.970 -0.245
Y -2.039 -3.463 1.750
Y -6.140 -3.550 -2.179
Zn -5.381 -1.317 1.144
Zn 1.116 -4.900 -0.392
```

Calculated values
**E_tot**: -0.1695 Ha/atom
**Energy of formation**: 33 meV per atom

***

Record 3
Computed, not measured: a relaxed Pr2TmTe2Se2 crystal at the GGA-PBE level of DFT.

Geometry as extended XYZ:
```
7
Lattice="-0.329 0.676 5.186 -4.467 -2.737 0.073 6.589 -5.778 -1.476" Properties=species:S:1:pos:R:3 pbc="T T T"
Pr 3.188 -5.180 0.878
Pr -1.395 -2.660 2.905
Tm 0.000 0.000 0.000
Te 1.546 -2.512 0.426
Te 0.246 -5.327 3.357
Se -2.234 -1.369 0.037
Se -0.165 0.338 2.593
```

Calculated values
**E_tot**: -0.1941 Ha/atom
**Uncorrected formation energy**: -1385 meV per atom

***

Record 4
Computed, not measured: a relaxed CdHg3Pb3 crystal at the GGA-PBE level of DFT.

Geometry as extended XYZ:
```
14
Lattice="7.607 1.078 0.385 0.659 7.654 0.385 0.651 0.688 7.213" Properties=species:S:1:pos:R:3 pbc="T T T"
Cd 0.961 1.015 0.958
Cd 7.956 8.405 7.025
Hg 1.753 1.852 5.203
Hg 3.637 1.455 2.308
Hg 1.254 3.711 2.308
Hg 5.280 7.966 5.676
Hg 7.664 5.709 5.676
Hg 7.164 7.569 2.780
Pb 3.817 4.033 5.371
Pb 2.362 6.695 3.992
Pb 6.556 2.726 3.992
Pb 2.702 5.721 0.385
Pb 5.564 3.012 0.385
Pb 5.100 5.388 2.613
```

Calculated values
**E_tot**: -0.0658 Ha/atom
**Energy of formation**: 59 meV per atom

***

Record 5
Computed, not measured: a relaxed LiFe2P crystal at the GGA-PBE level of DFT.

Geometry as extended XYZ:
```
4
Lattice="3.018 0.000 0.000 0.000 3.011 0.000 0.000 0.000 5.054" Properties=species:S:1:pos:R:3 pbc="T T T"
Fe 0.000 0.000 4.994
Fe 1.509 1.506 1.232
Li 0.000 0.000 2.542
P 1.509 1.506 3.867
```

Calculated values
**E_tot**: -0.2265 Ha/atom
**Energy of formation**: -102 meV per atom

***

Record 6
Computed, not measured: a relaxed AlRe3Ag crystal at the GGA-PBE level of DFT.

Geometry as extended XYZ:
```
5
Lattice="4.466 0.000 0.000 0.000 4.466 0.000 0.000 0.000 4.466" Properties=species:S:1:pos:R:3 pbc="T T T"
Re 0.000 2.233 0.000
Re 0.000 0.000 2.233
Re 2.233 0.000 0.000
Al 0.000 0.000 0.000
Ag 2.233 2.233 2.233
```

Calculated values
**E_tot**: -0.2527 Ha/atom
**Energy of formation**: 1912 meV per atom

***

Record 7
Computed, not measured: a relaxed Nd2NiH12Rh3 crystal at the GGA-PBE level of DFT.

Geometry as extended XYZ:
```
18
Lattice="5.960 -0.118 -0.084 2.841 5.241 -0.084 2.841 1.653 4.974" Properties=species:S:1:pos:R:3 pbc="T T T"
Nd 7.357 4.282 3.037
Nd 4.284 2.494 1.769
Ni 0.000 0.000 0.000
H 5.667 3.299 4.534
H 8.947 5.208 1.457
H 7.111 6.250 4.433
H 7.468 2.277 1.615
H 8.947 3.097 4.433
H 5.667 5.369 1.615
H 5.974 3.477 0.273
H 2.694 1.568 3.349
H 4.530 0.526 0.373
H 4.173 4.500 3.191
H 2.694 3.679 0.373
H 5.974 1.407 3.191
Rh 2.980 -0.059 -0.042
Rh 1.420 2.620 -0.042
Rh 1.420 0.827 2.487
```

Calculated values
**E_tot**: -0.1688 Ha/atom

***

Record 8
Computed, not measured: a relaxed InRe3Tc crystal at the GGA-PBE level of DFT.

Geometry as extended XYZ:
```
5
Lattice="-0.343 0.882 -4.600 -4.663 -0.494 0.253 -0.436 4.586 0.912" Properties=species:S:1:pos:R:3 pbc="T T T"
Re -2.332 -0.247 0.126
Re -0.218 2.293 0.456
Re -0.171 0.441 -2.300
Tc 0.000 0.000 0.000
In -2.721 2.487 -1.718
```

Calculated values
**E_tot**: -0.2985 Ha/atom
**Energy of formation**: 1966 meV per atom

***

Record 9
Computed, not measured: a relaxed YCuSn2 crystal at the GGA-PBE level of DFT.

Geometry as extended XYZ:
```
4
Lattice="4.376 0.000 0.000 0.000 4.527 0.000 0.000 0.000 4.527" Properties=species:S:1:pos:R:3 pbc="T T T"
Y 2.188 0.000 0.000
Sn 0.000 0.000 2.263
Sn 0.000 2.263 0.000
Cu 2.188 2.263 2.263
```

Calculated values
**E_tot**: -0.1838 Ha/atom
**Energy of formation**: -361 meV per atom

***

Record 10
Computed, not measured: a relaxed NpFeN crystal at the GGA-PBE level of DFT.

Geometry as extended XYZ:
```
6
Lattice="-2.224 0.018 -2.861 5.122 -1.420 -1.696 -1.660 -4.326 1.264" Properties=species:S:1:pos:R:3 pbc="T T T"
Fe -0.920 -3.486 0.694
Fe 2.158 -2.242 -3.986
Np 1.356 -4.367 -1.081
Np -0.118 -1.362 -2.212
N 0.356 -2.458 -0.292
N 0.882 -3.270 -3.001
```

Calculated values
**E_tot**: -0.3760 Ha/atom
**Uncorrected formation energy**: -323 meV per atom

***

Record 11
Computed, not measured: a relaxed ZnNi2H crystal at the GGA-PBE level of DFT.

Geometry as extended XYZ:
```
8
Lattice="-0.263 -1.749 1.891 4.743 -1.837 -1.003 1.125 4.924 2.948" Properties=species:S:1:pos:R:3 pbc="T T T"
Zn 1.799 2.068 1.290
Zn 3.806 -0.729 2.546
Ni 4.479 -1.427 0.224
Ni 1.126 2.765 3.613
Ni 3.530 1.886 3.148
Ni 2.075 -0.547 0.689
H 0.759 -1.073 1.786
H 4.846 2.411 2.051
```

Calculated values
**E_tot**: -0.1529 Ha/atom

***

Record 12
Computed, not measured: a relaxed SrZn4SiPt2 crystal at the GGA-PBE level of DFT.

Geometry as extended XYZ:
```
8
Lattice="-0.306 -0.943 4.220 0.091 -4.131 1.310 9.079 -1.249 2.605" Properties=species:S:1:pos:R:3 pbc="T T T"
Sr 0.000 0.000 0.000
Zn 6.989 -3.038 4.280
Zn 3.323 -4.903 5.825
Zn 5.541 -1.420 2.310
Zn 1.875 -3.285 3.855
Si 4.432 -3.162 4.068
Pt 6.365 -4.756 6.078
Pt 2.499 -1.567 2.057
```

Calculated values
**E_tot**: -0.1220 Ha/atom
**Uncorrected formation energy**: -285 meV per atom